## TcSbBr2 (PBE)

Data for a geometry-optimized TcSbBr2 structure.

Values from the calculation:
The value obtained for the uncorrected energy is -4.16 eV per atom. The calculation puts the size of the total moment at 1.09 μB per formula unit. For the uncorrected formation energy, the calculation gives 1.20 eV/f.u.

CIF file:
```
data_TcSbBr2
_cell_length_a 3.4113
_cell_length_b 3.4113
_cell_length_c 34.1119
_cell_angle_alpha 90.00
_cell_angle_beta 90.00
_cell_angle_gamma 120.00
_symmetry_space_group_name_H-M 'R -3 m'
_symmetry_Int_Tables_number 166
_symmetry_space_group_name_Hall '-R 3 2"'
loop_
_atom_site_label
_atom_site_fract_x
_atom_site_fract_y
_atom_site_fract_z
_atom_site_occupancy
Tc1 0.0000 0.0000 0.0000 1
Sb1 0.0000 0.0000 0.5000 1
Br1 0.0000 0.0000 0.3820 1
```